Here is a relaxed Be10NbNi crystal from Alexandria via LeMat-Bulk. Energies are from GGA-PBE.

Unit cell a=3.4642 b=4.2278 c=7.4766 alpha=90.00 beta=90.00 gamma=90.00
Last column: nearest neighbours and their distance in Å.
Atoms (fractional coordinates):
Be  0.0000  0.0000  0.3090  6 Be 2.09-2.24, 1 Ni 2.31
Be  0.0000  0.5000  0.8442  7 Be 2.09-2.33
Be  0.0000  0.5000  0.1558  7 Be 2.09-2.33
Be  0.0000  0.0000  0.6910  6 Be 2.09-2.24, 1 Ni 2.31
Be  0.5000  0.0000  0.5000  8 Be 2.16-2.24
Be  0.5000  0.5000  0.0000  8 Be 2.09-2.13
Be  0.5000  0.2570  0.2497  8 Be 2.05-2.17
Be  0.5000  0.7430  0.7503  8 Be 2.05-2.17
Be  0.5000  0.7430  0.2497  8 Be 2.05-2.17
Be  0.5000  0.2570  0.7503  8 Be 2.05-2.17
Nb  0.0000  0.5000  0.5000  18 Be 2.55-2.75
Ni  0.0000  0.0000  0.0000  6 Be 2.31-2.41

Results
Mass density: 3.67 g/cm³
ΔH_f (0 K): -1.7 eV/f.u.
N(E_F): 3.79 states/eV/f.u.
Symmetry: No. 47